First-principles (PBE with a Hubbard U) data for an optimized crystal structure of KCuNi2F8, as listed in Alexandria.

a = 4.848 Å, b = 6.557 Å, c = 4.924 Å
α = 90.00°, β = 92.74°, γ = 90.00°
Atoms (fractional coordinates):
K 0.000 0.000 0.000
Cu 0.000 0.500 0.000
Ni 0.500 0.256 0.500
Ni 0.500 0.744 0.500
F 0.225 0.301 0.195
F 0.225 0.699 0.195
F 0.280 0.500 0.692
F 0.311 0.000 0.637
F 0.689 0.000 0.363
F 0.720 0.500 0.308
F 0.775 0.301 0.805
F 0.775 0.699 0.805

Output
Theoretical density in Mg/m³: 4.0
Total energy in eV per formula unit: -48.52

***

First-principles (PBE with a Hubbard U) data for an optimized crystal structure of K4CuNi3F12, as listed in Alexandria.

a = 7.054 Å, b = 7.054 Å, c = 7.054 Å
α = 109.47°, β = 109.47°, γ = 109.47°
Atoms (fractional coordinates):
K 0.000 0.000 0.500
K 0.000 0.500 0.000
K 0.500 0.000 0.000
K 0.500 0.500 0.500
Cu 0.000 0.000 0.000
Ni 0.000 0.500 0.500
Ni 0.500 0.000 0.500
Ni 0.500 0.500 0.000
F 0.000 0.251 0.251
F 0.000 0.749 0.749
F 0.250 0.500 0.750
F 0.250 0.750 0.500
F 0.251 0.000 0.251
F 0.251 0.251 0.000
F 0.500 0.250 0.750
F 0.500 0.750 0.250
F 0.749 0.000 0.749
F 0.749 0.749 0.000
F 0.750 0.250 0.500
F 0.750 0.500 0.250

Output
Theoretical density in Mg/m³: 3.8
Total energy in eV per formula unit: -85.89

***

First-principles (PBE with a Hubbard U) data for an optimized crystal structure of K3CuNi2F9, as listed in Alexandria.

a = 5.765 Å, b = 5.765 Å, c = 7.061 Å
α = 90.00°, β = 90.00°, γ = 120.00°
Atoms (fractional coordinates):
K 0.000 0.000 0.000
K 0.333 0.667 0.665
K 0.667 0.333 0.335
Cu 0.000 0.000 0.500
Ni 0.333 0.667 0.165
Ni 0.667 0.333 0.835
F 0.000 0.500 0.000
F 0.167 0.335 0.333
F 0.167 0.833 0.333
F 0.335 0.167 0.667
F 0.500 0.000 0.000
F 0.500 0.500 0.000
F 0.665 0.833 0.333
F 0.833 0.167 0.667
F 0.833 0.665 0.667

Output
Theoretical density in Mg/m³: 3.8
Total energy in eV per formula unit: -64.23